First-principles (PBE) data for crystalline CsZrTe2N at its relaxed geometry, as listed in the Alexandria database.

abc: 6.1757 6.1757 4.2866
angles: 90.00 90.00 90.00
With the nearest neighbours (Å) after each atom.
Atoms (fractional coordinates):
N (0.0000, 0.0000, 0.5000)  2 Cs 2.14
Te (0.0000, 0.5000, 0.0000)  2 Cs 3.09
Te (0.5000, 0.0000, 0.0000)  2 Cs 3.09
Cs (0.0000, 0.0000, 0.0000)  2 N 2.14
Zr (0.5000, 0.5000, 0.5000)  8 Te 3.76

Properties
Energy: -15.595 eV per cell
DOS at the Fermi energy: 5.79 states/eV per cell
Space-group type: P4/mmm